Compound: FeB2Ru
Source: Alexandria via LeMat-Bulk
Functional: GGA-PBEsol
Structure: relaxed

Results
As for the space group: No. 122. As for the crystal system: tetragonal. The value obtained for the total energy is -8.048 eV/atom. The formation energy comes out at 1.0 eV per formula unit.

Cell lengths 4.6321, 4.6321, 4.6321 Å; angles 109.20, 109.20, 110.01 degrees
Fractional positions:
1 Fe 0.0000 0.0000 0.0000
2 Fe 0.7500 0.2500 0.5000
3 B 0.1083 0.1250 0.4833
4 B 0.3750 0.8917 0.0167
5 B 0.6417 0.6250 0.5167
6 B 0.8750 0.3583 0.9833
7 Ru 0.2500 0.7500 0.5000
8 Ru 0.5000 0.5000 0.0000